# 1
The following is a PBE calculation of an optimized crystal structure of LaTaPb2, from Alexandria via LeMat-Bulk.

Geometry as extended XYZ:
```
4
Lattice="4.553 0.000 0.000 0.000 4.824 0.000 0.000 0.000 4.824" Properties=species:S:1:pos:R:3 pbc="T T T"
La 2.277 0.000 2.412
Ta 2.277 2.412 0.000
Pb 0.000 2.412 2.412
Pb 0.000 0.000 0.000
```

Values from the calculation:
Energy of formation from the pure elements: 256 meV/atom

# 2
The following is a PBE calculation of an optimized crystal structure of LaTaPb3, from Alexandria via LeMat-Bulk.

Geometry as extended XYZ:
```
5
Lattice="-3.383 3.218 -2.865 0.671 -3.204 -4.391 -4.256 -3.063 1.585" Properties=species:S:1:pos:R:3 pbc="T T T"
Pb -1.691 1.609 -1.432
Pb -2.128 -1.531 0.792
Pb 0.335 -1.602 -2.196
Ta 0.000 0.000 0.000
La -3.484 -1.525 -2.836
```

Values from the calculation:
Energy of formation from the pure elements: 271 meV/atom
Excess energy over the best structure of this formula in the dataset: 0.0000 eV/atom

# 3
The following is a PBE calculation of an optimized crystal structure of LaTaPb, from Alexandria via LeMat-Bulk.

Geometry as extended XYZ:
```
3
Lattice="3.299 0.000 0.000 -1.650 2.857 0.000 0.000 0.000 8.227" Properties=species:S:1:pos:R:3 pbc="T T T"
Pb 1.650 0.952 2.948
Ta 0.000 1.905 5.414
La 0.000 0.000 8.091
```

Values from the calculation:
Energy of formation from the pure elements: 377 meV/atom
Excess energy over the best structure of this formula in the dataset: 0.1003 eV/atom

# 4
The following is a PBE calculation of an optimized crystal structure of La2TaPb, from Alexandria via LeMat-Bulk.

Geometry as extended XYZ:
```
4
Lattice="5.470 -0.022 -0.029 4.482 3.136 -0.029 0.794 0.248 6.719" Properties=species:S:1:pos:R:3 pbc="T T T"
La 9.935 3.108 0.070
La 5.390 1.686 3.203
Ta 2.686 0.841 1.665
Pb 8.059 2.522 4.996
```

Values from the calculation:
Energy of formation from the pure elements: 368 meV/atom

# 5
The following is a PBE calculation of an optimized crystal structure of LaTaPb4, from Alexandria via LeMat-Bulk.

Geometry as extended XYZ:
```
6
Lattice="-4.561 0.229 4.402 -2.286 5.600 1.910 -5.881 1.742 -1.614" Properties=species:S:1:pos:R:3 pbc="T T T"
La 0.000 0.000 0.000
Pb -4.780 2.843 1.764
Pb -7.708 3.710 0.960
Pb -7.051 2.957 3.956
Pb -5.918 5.631 2.715
Ta -9.546 5.678 3.523
```

Values from the calculation:
Energy of formation from the pure elements: 521 meV/atom

# 6
The following is a PBE calculation of an optimized crystal structure of LaTaPb, from Alexandria via LeMat-Bulk.

Geometry as extended XYZ:
```
3
Lattice="5.261 0.000 0.000 -2.630 4.556 0.000 0.000 0.000 3.304" Properties=species:S:1:pos:R:3 pbc="T T T"
La 0.000 0.000 3.304
Ta 0.000 3.037 1.653
Pb 2.630 1.519 1.651
```

Values from the calculation:
Energy of formation from the pure elements: 414 meV/atom
Excess energy over the best structure of this formula in the dataset: 0.1376 eV/atom

# 7
The following is a PBE calculation of an optimized crystal structure of LaTa2TePb, from Alexandria via LeMat-Bulk.

Geometry as extended XYZ:
```
5
Lattice="5.218 0.000 0.000 0.000 6.073 0.000 0.000 0.000 5.218" Properties=species:S:1:pos:R:3 pbc="T T T"
La 0.000 3.036 0.000
Ta 0.000 0.000 2.609
Ta 2.609 0.000 0.000
Pb 0.000 0.000 0.000
Te 2.609 3.036 2.609
```

Values from the calculation:
ΔE_f (raw): 684 kJ/mol of formula units

# 8
The following is a PBE calculation of an optimized crystal structure of LaTaPb2W, from Alexandria via LeMat-Bulk.

Geometry as extended XYZ:
```
5
Lattice="-1.559 -1.146 -5.040 1.657 -4.966 0.617 -4.882 -1.402 1.829" Properties=species:S:1:pos:R:3 pbc="T T T"
Ta -2.392 -3.757 -1.297
Pb -0.780 -0.573 -2.520
Pb -2.441 -0.701 0.915
La 0.828 -2.483 0.308
W 0.000 0.000 0.000
```

Values from the calculation:
Energy of formation from the pure elements: 1351 meV/atom

# 9
The following is a PBE calculation of an optimized crystal structure of LaTaZnPb2, from Alexandria via LeMat-Bulk.

Geometry as extended XYZ:
```
5
Lattice="-2.244 0.558 -4.621 3.352 -3.931 -2.102 -3.467 -3.623 1.246" Properties=species:S:1:pos:R:3 pbc="T T T"
La 1.676 -1.965 -1.051
Pb -1.734 -1.812 0.623
Pb -1.122 0.279 -2.311
Ta -1.179 -3.498 -2.739
Zn 0.000 0.000 0.000
```

Values from the calculation:
Energy of formation from the pure elements: 934 meV/atom

# 10
The following is a PBE calculation of an optimized crystal structure of LaTaZn2Pb, from Alexandria via LeMat-Bulk.

Geometry as extended XYZ:
```
5
Lattice="5.047 0.000 0.000 0.000 6.157 0.000 0.000 0.000 5.047" Properties=species:S:1:pos:R:3 pbc="T T T"
Zn 0.000 0.000 2.524
Zn 2.524 0.000 0.000
La 0.000 3.078 0.000
Ta 2.524 3.078 2.524
Pb 0.000 0.000 0.000
```

Values from the calculation:
Energy of formation from the pure elements: 1293 meV/atom

# 11
The following is a PBE calculation of an optimized crystal structure of La5TbPb6, from Alexandria via LeMat-Bulk.

Geometry as extended XYZ:
```
12
Lattice="-1.665 4.875 -0.003 -7.149 -2.443 -5.410 -5.088 0.891 6.321" Properties=species:S:1:pos:R:3 pbc="T T T"
Tb 0.000 0.000 0.000
La -2.237 1.928 2.085
La -5.833 0.698 -0.588
La -11.665 1.394 -1.177
La -8.069 2.625 1.496
La -3.575 -1.222 -2.705
Pb -11.303 1.489 2.247
Pb -8.446 2.528 -2.005
Pb -4.825 3.765 0.735
Pb -2.600 1.833 -1.339
Pb -9.078 -0.443 0.173
Pb -5.457 0.794 2.913
```

Values from the calculation:
Energy of formation from the pure elements: -563 meV/atom

# 12
The following is a PBE calculation of an optimized crystal structure of La3TbPb, from Alexandria via LeMat-Bulk.

Geometry as extended XYZ:
```
10
Lattice="6.657 -0.328 -0.540 3.067 5.918 -0.498 2.565 1.531 8.126" Properties=species:S:1:pos:R:3 pbc="T T T"
La 8.373 2.657 5.647
La 7.320 4.255 2.389
La 3.916 4.463 1.441
La 5.820 1.194 1.372
La 4.969 2.865 4.698
La 6.469 5.926 5.715
Tb 2.369 1.354 -0.014
Tb 9.920 5.766 7.102
Pb 9.784 5.648 3.988
Pb 2.504 1.472 3.099
```

Values from the calculation:
Energy of formation from the pure elements: -205 meV/atom